# 1
Here is P2RhCl after structural relaxation from Alexandria via LeMat-Bulk. Energies are from PBE.

Properties
- E_form (uncorrected): 0.566 eV/atom
- Space-group type: Cmmm (65)
- Energy above the most stable polymorph in this dataset: 734 meV per atom

Lattice parameters (Å, degrees): 4.869 4.869 3.031 90.00 90.00 119.64
Fractional coordinates of all 4 atoms:
P  0.000  0.000  0.000
P  0.500  0.500  0.000
Rh  0.500  0.000  0.500
Cl  0.000  0.500  0.500

# 2
Here is Hg2SbPt after structural relaxation from Alexandria via LeMat-Bulk. Energies are from PBE.

Properties
- E_form (uncorrected): 0.000 eV/atom
- Space-group type: Imm2 (44)

Lattice parameters (Å, degrees): 7.091 7.091 7.091 155.23 140.17 47.47
Fractional coordinates of all 4 atoms:
Sb  0.313  0.813  0.500
Hg  0.009  0.009  0.000
Hg  0.688  0.188  0.500
Pt  0.489  0.489  0.000

# 3
Here is NdSmPt2 after structural relaxation from Alexandria via LeMat-Bulk. Energies are from PBE.

Properties
- Energy of formation from the pure elements: -1.064 eV/atom
- Space-group type: R-3m (166)
- Energy above the most stable polymorph in this dataset: 109 meV per atom

Lattice parameters (Å, degrees): 4.168 4.168 7.253 73.30 73.30 60.00
Fractional coordinates of all 4 atoms:
Pt  0.251  0.251  0.246
Pt  0.749  0.749  0.754
Nd  0.500  0.500  0.500
Sm  0.000  0.000  0.000

# 4
Here is Ho4RhPb2 after structural relaxation from Alexandria via LeMat-Bulk. Energies are from PBE.

Properties
- Energy of formation from the pure elements: -0.482 eV/atom
- Space-group type: P2_1/m (11)

Lattice parameters (Å, degrees): 7.021 6.639 9.614 90.00 120.77 90.00
Fractional coordinates of all 14 atoms:
Pb  0.652  0.750  0.117
Pb  0.298  0.250  0.487
Pb  0.348  0.250  0.883
Pb  0.702  0.750  0.513
Ho  0.150  0.750  0.830
Ho  0.339  0.007  0.200
Ho  0.850  0.250  0.170
Ho  0.875  0.250  0.569
Ho  0.661  0.993  0.800
Ho  0.125  0.750  0.431
Ho  0.661  0.507  0.800
Ho  0.339  0.493  0.200
Rh  0.999  0.250  0.935
Rh  0.001  0.750  0.065

# 5
Here is K3LaDy2S6 after structural relaxation from Alexandria via LeMat-Bulk. Energies are from PBE.

Properties
- E_form (uncorrected): -1.895 eV/atom
- Space-group type: C2/m (12)

Lattice parameters (Å, degrees): 7.158 7.158 7.755 98.86 98.86 120.00
Fractional coordinates of all 12 atoms:
Dy  0.667  0.333  0.000
Dy  0.333  0.667  0.000
S  0.277  0.277  0.796
S  0.413  0.068  0.203
S  0.932  0.587  0.797
S  0.068  0.413  0.203
S  0.723  0.723  0.204
S  0.587  0.932  0.797
K  0.166  0.834  0.500
K  0.500  0.500  0.500
K  0.834  0.166  0.500
La  0.000  0.000  0.000

# 6
Here is Sr3TcAs after structural relaxation from Alexandria via LeMat-Bulk. Energies are from PBE.

Properties
- Energy of formation from the pure elements: 0.348 eV/atom
- Space-group type: Pm-3m (221)
- Energy above the most stable polymorph in this dataset: 0 meV per atom

Lattice parameters (Å, degrees): 5.918 5.918 5.918 90.00 90.00 90.00
Fractional coordinates of all 5 atoms:
Tc  0.500  0.500  0.500
As  0.000  0.000  0.000
Sr  0.000  0.000  0.500
Sr  0.500  0.000  0.000
Sr  0.000  0.500  0.000

# 7
Here is YPtS3 after structural relaxation from Alexandria via LeMat-Bulk. Energies are from PBE.

Properties
- E_form (uncorrected): 0.370 eV/atom
- Space-group type: Pm-3m (221)
- Energy above the most stable polymorph in this dataset: 930 meV per atom

Lattice parameters (Å, degrees): 5.187 5.187 5.187 90.00 90.00 90.00
Fractional coordinates of all 5 atoms:
S  0.000  0.500  0.000
S  0.000  0.000  0.500
S  0.500  0.000  0.000
Y  0.000  0.000  0.000
Pt  0.500  0.500  0.500

# 8
Here is K2RhBr6 after structural relaxation from Alexandria via LeMat-Bulk. Energies are from PBE.

Properties
- E_form (uncorrected): -0.860 eV/atom
- Space-group type: P4_2/mnm (136)

Lattice parameters (Å, degrees): 7.029 7.029 13.839 90.00 90.00 90.00
Fractional coordinates of all 18 atoms:
Br  0.249  0.751  0.500
Br  0.676  0.676  0.630
Br  0.324  0.324  0.630
Br  0.324  0.324  0.370
Br  0.749  0.749  0.000
Br  0.824  0.176  0.870
Br  0.176  0.824  0.130
Br  0.751  0.249  0.500
Br  0.676  0.676  0.370
Br  0.824  0.176  0.130
Br  0.251  0.251  0.000
Br  0.176  0.824  0.870
K  0.500  0.500  0.169
K  0.000  0.000  0.331
K  0.000  0.000  0.669
K  0.500  0.500  0.831
Rh  0.500  0.500  0.500
Rh  0.000  0.000  0.000

# 9
Here is TbPr2Ge after structural relaxation from Alexandria via LeMat-Bulk. Energies are from PBE.

Properties
- Energy of formation from the pure elements: -0.329 eV/atom
- Space-group type: P4/mmm (123)
- Energy above the most stable polymorph in this dataset: 0 meV per atom

Lattice parameters (Å, degrees): 4.852 4.779 4.779 90.00 90.00 90.00
Fractional coordinates of all 4 atoms:
Ge  0.500  0.000  0.000
Pr  0.000  0.000  0.500
Pr  0.000  0.500  0.000
Tb  0.500  0.500  0.500

# 10
Here is Ce2HoAs4Rh3 after structural relaxation from Alexandria via LeMat-Bulk. Energies are from PBE.

Properties
- Energy of formation from the pure elements: -0.955 eV/atom
- Space-group type: P-4m2 (115)

Lattice parameters (Å, degrees): 4.337 4.337 10.738 90.00 90.00 90.00
Fractional coordinates of all 10 atoms:
Rh  0.000  0.000  0.500
Rh  0.500  0.000  0.892
Rh  0.000  0.500  0.108
As  0.000  0.500  0.338
As  0.500  0.000  0.662
As  0.000  0.000  0.000
As  0.500  0.500  0.000
Ce  0.500  0.000  0.222
Ce  0.000  0.500  0.778
Ho  0.500  0.500  0.500

# 11
Here is Tm3InBi2 after structural relaxation from Alexandria via LeMat-Bulk. Energies are from PBE.

Properties
- Energy of formation from the pure elements: -0.503 eV/atom
- Space-group type: C2/c (15)

Lattice parameters (Å, degrees): 6.225 8.558 7.810 105.88 113.49 90.00
Fractional coordinates of all 12 atoms:
Tm  0.830  0.415  0.659
Tm  0.170  0.085  0.341
Tm  0.498  0.750  0.000
Tm  0.830  0.915  0.659
Tm  0.502  0.250  0.000
Tm  0.170  0.585  0.341
Bi  0.665  0.583  0.331
Bi  0.335  0.417  0.669
Bi  0.334  0.917  0.669
Bi  0.666  0.083  0.331
In  0.998  0.750  0.000
In  0.002  0.250  0.000

# 12
Here is Cs3LaBr8 after structural relaxation from Alexandria via LeMat-Bulk. Energies are from PBE.

Properties
- E_form (uncorrected): -1.453 eV/atom
- Space-group type: I4/mmm (139)

Lattice parameters (Å, degrees): 8.160 8.160 10.125 113.76 113.76 90.00
Fractional coordinates of all 12 atoms:
Br  0.325  0.892  0.217
Br  0.325  0.325  0.217
Br  0.892  0.325  0.217
Br  0.675  0.108  0.783
Br  0.675  0.675  0.783
Br  0.108  0.108  0.783
Br  0.108  0.675  0.783
Br  0.892  0.892  0.217
Cs  0.500  0.500  0.000
Cs  0.750  0.250  0.500
Cs  0.250  0.750  0.500
La  0.000  0.000  0.000

# 13
Here is Tm12ZnNi6 after structural relaxation from Alexandria via LeMat-Bulk. Energies are from PBE.

Properties
- Energy of formation from the pure elements: -0.345 eV/atom
- Space-group type: Im-3 (204)
- Energy above the most stable polymorph in this dataset: 0 meV per atom

Lattice parameters (Å, degrees): 8.230 8.230 8.230 109.47 109.47 109.47
Fractional coordinates of all 19 atoms:
Ni  0.375  0.500  0.875
Ni  0.500  0.875  0.375
Ni  0.125  0.625  0.500
Ni  0.625  0.500  0.125
Ni  0.500  0.125  0.625
Ni  0.875  0.375  0.500
Tm  0.113  0.814  0.300
Tm  0.300  0.113  0.814
Tm  0.300  0.486  0.186
Tm  0.814  0.300  0.113
Tm  0.887  0.186  0.700
Tm  0.486  0.186  0.300
Tm  0.814  0.700  0.514
Tm  0.700  0.514  0.814
Tm  0.700  0.887  0.186
Tm  0.186  0.700  0.887
Tm  0.514  0.814  0.700
Tm  0.186  0.300  0.486
Zn  0.000  0.000  0.000

# 14
Here is Dy3Er2ThTe6 after structural relaxation from Alexandria via LeMat-Bulk. Energies are from PBE.

Properties
- E_form (uncorrected): -1.205 eV/atom
- Space-group type: C2/m (12)

Lattice parameters (Å, degrees): 4.238 8.988 9.632 98.82 102.71 90.00
Fractional coordinates of all 12 atoms:
Er  0.166  0.348  0.333
Er  0.834  0.652  0.667
Te  0.992  0.736  0.984
Te  0.008  0.264  0.016
Te  0.677  0.107  0.354
Te  0.332  0.401  0.665
Te  0.668  0.599  0.335
Te  0.323  0.893  0.646
Dy  0.500  0.500  0.000
Dy  0.849  0.148  0.698
Dy  0.151  0.852  0.302
Th  0.500  0.000  0.000

# 15
Here is YGa6Rh4 after structural relaxation from Alexandria via LeMat-Bulk. Energies are from PBE.

Properties
- Energy of formation from the pure elements: -0.639 eV/atom
- Space-group type: P-6m2 (187)

Lattice parameters (Å, degrees): 3.800 7.446 7.446 120.00 90.00 90.00
Fractional coordinates of all 11 atoms:
Ga  0.500  0.616  0.808
Ga  0.500  0.192  0.384
Ga  0.000  0.532  0.468
Ga  0.000  0.532  0.065
Ga  0.000  0.935  0.468
Ga  0.500  0.192  0.808
Rh  0.500  0.403  0.202
Rh  0.000  0.333  0.667
Rh  0.500  0.798  0.597
Rh  0.500  0.798  0.202
Y  0.000  0.000  0.000

# 16
Here is SrCaI after structural relaxation from Alexandria via LeMat-Bulk. Energies are from PBE.

Properties
- E_form (uncorrected): -0.669 eV/atom
- Space-group type: I4mm (107)
- Energy above the most stable polymorph in this dataset: 47 meV per atom

Lattice parameters (Å, degrees): 4.041 4.041 7.933 104.76 104.76 90.00
Fractional coordinates of all 3 atoms:
I  0.669  0.669  0.338
Ca  0.321  0.321  0.641
Sr  0.010  0.010  0.021

# 17
Here is Hf2Fe2Hg after structural relaxation from Alexandria via LeMat-Bulk. Energies are from PBE.

Properties
- Energy of formation from the pure elements: 0.117 eV/atom
- Space-group type: I4/mmm (139)
- Energy above the most stable polymorph in this dataset: 227 meV per atom

Lattice parameters (Å, degrees): 3.301 3.301 8.737 79.11 79.11 90.00
Fractional coordinates of all 5 atoms:
Hf  0.377  0.377  0.246
Hf  0.623  0.623  0.754
Fe  0.750  0.250  0.500
Fe  0.250  0.750  0.500
Hg  0.000  0.000  0.000

# 18
Here is Hg12Sb3As5 after structural relaxation from Alexandria via LeMat-Bulk. Energies are from PBE.

Properties
- E_form (uncorrected): 0.178 eV/atom
- Space-group type: Ia-3d (230)

Lattice parameters (Å, degrees): 14.389 14.389 14.389 109.47 109.47 109.47
Fractional coordinates of all 80 atoms:
As  0.500  0.500  0.000
As  0.375  0.125  0.750
As  0.500  0.000  0.500
As  0.000  0.000  0.500
As  0.125  0.750  0.375
As  0.000  0.000  0.000
As  0.500  0.500  0.500
As  0.750  0.125  0.875
As  0.500  0.000  0.000
As  0.250  0.875  0.125
As  0.375  0.250  0.125
As  0.000  0.500  0.000
As  0.125  0.375  0.250
As  0.750  0.625  0.375
As  0.875  0.625  0.750
As  0.875  0.250  0.625
As  0.625  0.875  0.250
As  0.000  0.500  0.500
As  0.250  0.375  0.625
As  0.625  0.750  0.875
Hg  0.424  0.048  0.324
Hg  0.101  0.176  0.224
Hg  0.952  0.377  0.276
Hg  0.176  0.076  0.952
Hg  0.324  0.548  0.424
Hg  0.048  0.623  0.724
Hg  0.101  0.924  0.377
Hg  0.377  0.952  0.776
Hg  0.276  0.399  0.824
Hg  0.623  0.576  0.899
Hg  0.576  0.952  0.676
Hg  0.877  0.601  0.924
Hg  0.623  0.048  0.224
Hg  0.776  0.452  0.377
Hg  0.424  0.377  0.601
Hg  0.548  0.224  0.123
Hg  0.123  0.724  0.548
Hg  0.224  0.676  0.101
Hg  0.676  0.452  0.576
Hg  0.176  0.101  0.724
Hg  0.899  0.824  0.776
Hg  0.824  0.924  0.048
Hg  0.724  0.601  0.176
Hg  0.123  0.399  0.076
Hg  0.899  0.076  0.623
Hg  0.601  0.724  0.676
Hg  0.377  0.424  0.101
Hg  0.452  0.776  0.877
Hg  0.776  0.324  0.899
Hg  0.224  0.548  0.623
Hg  0.048  0.424  0.824
Hg  0.548  0.324  0.924
Hg  0.952  0.576  0.176
Hg  0.676  0.224  0.601
Hg  0.601  0.877  0.424
Hg  0.924  0.824  0.548
Hg  0.076  0.176  0.452
Hg  0.724  0.123  0.048
Hg  0.324  0.776  0.399
Hg  0.576  0.623  0.399
Hg  0.877  0.276  0.452
Hg  0.276  0.877  0.952
Hg  0.452  0.676  0.076
Hg  0.399  0.276  0.324
Hg  0.924  0.101  0.877
Hg  0.824  0.899  0.276
Hg  0.076  0.899  0.123
Hg  0.399  0.123  0.576
Sb  0.625  0.250  0.375
Sb  0.250  0.625  0.875
Sb  0.875  0.125  0.250
Sb  0.875  0.750  0.125
Sb  0.375  0.625  0.250
Sb  0.250  0.125  0.375
Sb  0.125  0.875  0.750
Sb  0.625  0.375  0.750
Sb  0.125  0.250  0.875
Sb  0.375  0.750  0.625
Sb  0.750  0.375  0.125
Sb  0.750  0.875  0.625

# 19
Here is TlAu2 after structural relaxation from Alexandria via LeMat-Bulk. Energies are from PBE.

Properties
- Energy of formation from the pure elements: 0.042 eV/atom
- Space-group type: P4/mmm (123)
- Energy above the most stable polymorph in this dataset: 40 meV per atom

Lattice parameters (Å, degrees): 3.901 3.901 4.885 90.00 90.00 90.00
Fractional coordinates of all 3 atoms:
Tl  0.000  0.000  0.000
Au  0.000  0.500  0.500
Au  0.500  0.000  0.500

# 20
Here is La2TbDyS4 after structural relaxation from Alexandria via LeMat-Bulk. Energies are from PBE.

Properties
- E_form (uncorrected): -2.089 eV/atom
- Space-group type: P2/m (10)

Lattice parameters (Å, degrees): 3.986 6.947 7.092 108.91 90.00 90.00
Fractional coordinates of all 8 atoms:
Tb  0.000  0.000  0.000
S  0.500  0.244  0.231
S  0.500  0.756  0.769
S  0.000  0.258  0.770
S  0.000  0.742  0.230
La  0.000  0.500  0.500
La  0.500  0.000  0.500
Dy  0.500  0.500  0.000

Number 1: E -4.4389 eV/atom. Number 2: E -2.6920 eV/atom. Number 3: E -6.4557 eV/atom. Number 4: E -5.2077 eV/atom. Number 5: E -5.4108 eV/atom. Number 6: E -3.6644 eV/atom. Number 7: E -4.6071 eV/atom. Number 8: E -3.0356 eV/atom. Number 9: E -5.0306 eV/atom. Number 10: E -6.6646 eV/atom. Number 11: E -4.4886 eV/atom. Number 12: E -3.1920 eV/atom. Number 13: E -5.0616 eV/atom. Number 14: E -5.3047 eV/atom. Number 15: E -5.5509 eV/atom. Number 16: E -2.4135 eV/atom. Number 17: E -7.3095 eV/atom. Number 18: E -1.7840 eV/atom. Number 19: E -2.9314 eV/atom. Number 20: E -6.5391 eV/atom.